(1)
# K2ScTlCr (GGA-PBE, relaxed)
data_K2ScTlCr
_cell_length_a 6.2396
_cell_length_b 5.1743
_cell_length_c 6.2396
_cell_angle_alpha 90.00
_cell_angle_beta 90.00
_cell_angle_gamma 90.00
_space_group_name_H-M_alt 'P 1'
_space_group_IT_number 1
_space_group_name_Hall 'P 1'
loop_
_atom_site_label
_atom_site_type_symbol
_atom_site_fract_x
_atom_site_fract_y
_atom_site_fract_z
Sc1 Sc 0.0000 0.5000 0.0000
Cr1 Cr 0.0000 0.0000 0.0000
Tl1 Tl 0.5000 0.5000 0.5000
K1 K 0.0000 0.0000 0.5000
K2 K 0.5000 0.0000 0.0000
# Space-group type   No. 123
# Formation energy from the elements   0.90 eV per atom
# Crystal system   tetragonal
# VASP energy   -3.20 eV/atom

(2)
# PrAlS2O8 (GGA-PBE, relaxed)
data_PrAlS2O8
_cell_length_a 5.2979
_cell_length_b 5.2979
_cell_length_c 6.6218
_cell_angle_alpha 90.00
_cell_angle_beta 90.00
_cell_angle_gamma 120.00
_space_group_name_H-M_alt 'P 1'
_space_group_IT_number 1
_space_group_name_Hall 'P 1'
loop_
_atom_site_label
_atom_site_type_symbol
_atom_site_fract_x
_atom_site_fract_y
_atom_site_fract_z
Pr1 Pr 0.0000 0.0000 0.5000
Al1 Al 0.0000 0.0000 0.0000
S1 S 0.3333 0.6667 0.7813
S2 S 0.6667 0.3333 0.2187
O1 O 0.1560 0.3119 0.8099
O2 O 0.1560 0.8440 0.8099
O3 O 0.6881 0.8440 0.8099
O4 O 0.3119 0.1560 0.1901
O5 O 0.6667 0.3333 0.4478
O6 O 0.3333 0.6667 0.5522
O7 O 0.8440 0.6881 0.1901
O8 O 0.8440 0.1560 0.1901
# Space-group type   No. 164
# Crystal system   trigonal
# VASP energy   -6.40 eV/atom
# Raw formation energy   -1.697 eV/atom

(3)
# MnCr2Ni (GGA-PBE, relaxed)
data_MnCr2Ni
_cell_length_a 2.4434
_cell_length_b 3.6788
_cell_length_c 5.0311
_cell_angle_alpha 90.00
_cell_angle_beta 90.00
_cell_angle_gamma 90.00
_space_group_name_H-M_alt 'P 1'
_space_group_IT_number 1
_space_group_name_Hall 'P 1'
loop_
_atom_site_label
_atom_site_type_symbol
_atom_site_fract_x
_atom_site_fract_y
_atom_site_fract_z
Cr1 Cr 0.0000 0.0000 0.0025
Cr2 Cr 0.0000 0.0000 0.4975
Mn1 Mn 0.5000 0.5000 0.2500
Ni1 Ni 0.5000 0.5000 0.7500
# Space-group type   No. 47
# Formation energy from the elements   0.12 eV per atom
# Crystal system   orthorhombic
# VASP energy   -8.43 eV/atom

(4)
# ReHgAu (GGA-PBE, relaxed)
data_ReHgAu
_cell_length_a 6.9365
_cell_length_b 6.9365
_cell_length_c 6.9365
_cell_angle_alpha 156.43
_cell_angle_beta 156.43
_cell_angle_gamma 33.58
_space_group_name_H-M_alt 'P 1'
_space_group_IT_number 1
_space_group_name_Hall 'P 1'
loop_
_atom_site_label
_atom_site_type_symbol
_atom_site_fract_x
_atom_site_fract_y
_atom_site_fract_z
Au1 Au 0.0094 0.0094 0.0000
Hg1 Hg 0.3289 0.3289 0.0000
Re1 Re 0.6617 0.6617 0.0000
# Polymorph energy (0 for the lowest one)   6.81 kJ/mol of atoms
# Space-group type   No. 107
# Formation energy from the elements   0.66 eV per atom
# Crystal system   tetragonal
# VASP energy   -4.68 eV/atom

(5)
# La3RuAu (GGA-PBE, relaxed)
data_La3RuAu
_cell_length_a 7.5475
_cell_length_b 10.2290
_cell_length_c 4.0505
_cell_angle_alpha 90.04
_cell_angle_beta 74.42
_cell_angle_gamma 105.50
_space_group_name_H-M_alt 'P 1'
_space_group_IT_number 1
_space_group_name_Hall 'P 1'
loop_
_atom_site_label
_atom_site_type_symbol
_atom_site_fract_x
_atom_site_fract_y
_atom_site_fract_z
Ru1 Ru 0.8619 0.5108 0.3841
Ru2 Ru 0.7723 0.1641 0.4295
Au1 Au 0.3049 0.5511 0.1632
Au2 Au 0.3294 0.1238 0.6504
La1 La 0.9904 0.0089 0.3197
La2 La 0.0981 0.6988 0.7664
La3 La 0.6437 0.6660 0.4938
La4 La 0.5810 0.3510 0.0247
La5 La 0.0535 0.3238 0.7889
La6 La 0.5361 0.9760 0.0472
# Polymorph energy (0 for the lowest one)   0.00 kJ/mol of atoms
# Space-group type   No. 12
# Formation energy from the elements   -0.49 eV per atom
# Crystal system   monoclinic
# VASP energy   -5.95 eV/atom

(6)
# Ta2OsSe (GGA-PBE, relaxed)
data_Ta2OsSe
_cell_length_a 3.1685
_cell_length_b 4.0530
_cell_length_c 5.3429
_cell_angle_alpha 90.00
_cell_angle_beta 90.00
_cell_angle_gamma 90.00
_space_group_name_H-M_alt 'P 1'
_space_group_IT_number 1
_space_group_name_Hall 'P 1'
loop_
_atom_site_label
_atom_site_type_symbol
_atom_site_fract_x
_atom_site_fract_y
_atom_site_fract_z
Os1 Os 0.0000 0.0000 0.4680
Se1 Se 0.5000 0.5000 0.7753
Ta1 Ta 0.0000 0.0000 0.9776
Ta2 Ta 0.5000 0.5000 0.2791
# Space-group type   No. 25
# Crystal system   orthorhombic
# VASP energy   -9.53 eV/atom
# Raw formation energy   0.077 eV/atom

(7)
# Er5NiHg2 (GGA-PBE, relaxed)
data_Er5NiHg2
_cell_length_a 4.8576
_cell_length_b 6.9918
_cell_length_c 11.9060
_cell_angle_alpha 90.00
_cell_angle_beta 90.00
_cell_angle_gamma 90.00
_space_group_name_H-M_alt 'P 1'
_space_group_IT_number 1
_space_group_name_Hall 'P 1'
loop_
_atom_site_label
_atom_site_type_symbol
_atom_site_fract_x
_atom_site_fract_y
_atom_site_fract_z
Er1 Er 0.0000 0.0000 0.5000
Er2 Er 0.0000 0.5000 0.0000
Er3 Er 0.0000 0.8657 0.2067
Er4 Er 0.0000 0.1343 0.7933
Er5 Er 0.0000 0.6343 0.7067
Er6 Er 0.0000 0.3657 0.2933
Er7 Er 0.5000 0.6741 0.4131
Er8 Er 0.5000 0.3259 0.5869
Er9 Er 0.5000 0.8259 0.9131
Er10 Er 0.5000 0.1741 0.0869
Ni1 Ni 0.0000 0.5000 0.5000
Ni2 Ni 0.0000 0.0000 0.0000
Hg1 Hg 0.5000 0.5923 0.1582
Hg2 Hg 0.5000 0.4077 0.8418
Hg3 Hg 0.5000 0.9077 0.6582
Hg4 Hg 0.5000 0.0923 0.3418
# Space-group type   No. 55
# Formation energy from the elements   -0.35 eV per atom
# Crystal system   orthorhombic
# VASP energy   -4.00 eV/atom

(8)
# ZrVI3 (GGA-PBE, relaxed)
data_ZrVI3
_cell_length_a 5.7384
_cell_length_b 5.7384
_cell_length_c 5.7384
_cell_angle_alpha 90.00
_cell_angle_beta 90.00
_cell_angle_gamma 90.00
_space_group_name_H-M_alt 'P 1'
_space_group_IT_number 1
_space_group_name_Hall 'P 1'
loop_
_atom_site_label
_atom_site_type_symbol
_atom_site_fract_x
_atom_site_fract_y
_atom_site_fract_z
I1 I 0.0000 0.5000 0.0000
I2 I 0.0000 0.0000 0.5000
I3 I 0.5000 0.0000 0.0000
Zr1 Zr 0.0000 0.0000 0.0000
V1 V 0.5000 0.5000 0.5000
# Polymorph energy (0 for the lowest one)   0.00 kJ/mol of atoms
# Space-group type   No. 221
# Crystal system   cubic
# VASP energy   -4.10 eV/atom
# Raw formation energy   0.362 eV/atom

Q: Among the records above, which one has the lowest VASP energy?
A: Ta2OsSe

Q: Look up the VASP energy of the second one.
A: -6.40 eV/atom

Q: What is the VASP energy in the first record?
A: -3.20 eV/atom